A crystal of CaNi2Rh relaxed with PBEsol, computed with SCAN.

VASP energy = -18.786 eV per atom

Geometry as POSCAR:
```
CaNi2Rh
1.0
-3.034 -0.435 -0.386
0.547 -1.441 -2.677
0.406 -5.556 3.074
Rh Ca Ni
1 1 2
Cartesian
-1.244 -0.938 -1.531
-1.041 -3.716 0.006
0.328 -4.498 2.489
0.077 -1.058 0.585
```

=====

A crystal of CaNi2Rh relaxed with PBEsol, computed with SCAN.

VASP energy = -18.789 eV per atom

Geometry as POSCAR:
```
CaNi2Rh
1.0
-1.720 0.856 -1.993
-2.294 -3.903 0.304
-2.076 2.735 2.966
Rh Ni Ca
1 2 1
Cartesian
-3.045 -0.156 0.638
-1.038 1.368 1.483
-1.147 -1.951 0.152
-0.860 0.428 -0.997
```

=====

A crystal of CaNi2Rh relaxed with PBEsol, computed with SCAN.

VASP energy = -18.837 eV per atom

Geometry as POSCAR:
```
CaNi2Rh
1.0
2.956 0.000 0.000
0.000 2.957 0.000
0.000 0.000 6.752
Rh Ni Ca
1 2 1
Cartesian
0.000 0.000 3.007
0.000 0.000 0.417
1.478 1.479 1.592
1.478 1.479 5.112
```

=====

A crystal of Ca3NiRh relaxed with PBEsol, computed with SCAN.

VASP energy = -15.518 eV per atom

Geometry as POSCAR:
```
Ca3NiRh
1.0
-4.345 -1.584 2.473
-0.345 -4.110 -3.240
2.916 -2.847 3.301
Ca Ni Rh
3 1 1
Cartesian
-2.173 -0.792 1.236
-0.172 -2.055 -1.620
1.458 -1.423 1.650
-0.887 -4.270 1.267
0.000 0.000 0.000
```

=====

A crystal of CaNiRu2 relaxed with PBEsol, computed with SCAN.

VASP energy = -23.364 eV per atom

Geometry as POSCAR:
```
CaNiRu2
1.0
-0.792 2.124 1.711
-0.086 -2.900 3.561
4.879 1.336 -1.756
Ca Ru Ni
1 2 1
Cartesian
-0.405 -0.381 2.643
1.606 1.489 1.252
3.983 0.556 3.512
2.376 -0.934 2.260
```

=====

A crystal of CaNi2Ru relaxed with PBEsol, computed with SCAN.

VASP energy = -18.949 eV per atom

Geometry as POSCAR:
```
CaNi2Ru
1.0
2.684 0.000 -0.113
0.000 4.161 0.000
-1.093 0.000 5.194
Ca Ni Ru
1 2 1
Cartesian
-0.298 2.081 4.078
2.245 2.081 1.367
2.188 0.000 -0.015
0.934 0.000 2.079
```

=====

A crystal of CaNi3Ru relaxed with PBEsol, computed with SCAN.

VASP energy = -16.671 eV per atom

Geometry as POSCAR:
```
CaNi3Ru
1.0
-2.711 3.246 0.712
-3.316 -2.582 -0.855
-0.219 -1.091 4.142
Ca Ru Ni
1 1 3
Cartesian
0.000 0.000 0.000
-3.123 -0.213 1.999
-0.109 -0.545 2.071
-1.658 -1.291 -0.427
-1.355 1.623 0.356
```

=====

A crystal of CaNiRu3 relaxed with PBEsol, computed with SCAN.

VASP energy = -23.394 eV per atom

Geometry as POSCAR:
```
CaNiRu3
1.0
-1.760 3.986 1.049
-4.045 -1.889 0.390
0.789 -0.794 4.339
Ru Ca Ni
3 1 1
Cartesian
0.395 -0.397 2.170
-0.880 1.993 0.524
-2.023 -0.944 0.195
0.000 0.000 0.000
-2.508 0.652 2.889
```

=====

| no. | calculated formation energy (meV per atom) |
| --- | --- |
| 1 | 159 |
| 2 | 156 |
| 3 | 108 |
| 4 | 269 |
| 5 | 508 |
| 6 | 260 |
| 7 | 1931 |
| 8 | 2669 |